(1)
BeCrNi: optimized geometry, PBE-GGA.

Properties
- polymorph energy (0 for the lowest one) (meV per atom) = 0
- calculated formation energy (eV/f.u.) = -0.49
- electronic total energy (hartree per atom) = -0.2403
- V (Å³/cell) = 59

Unit cell a=2.4760 b=2.4757 c=9.6895 alpha=90.01 beta=89.99 gamma=90.04
Closest atoms and distances in Å follow each position.
Fractional positions:
Ni1 0.4699 0.6682 0.9434  4 Be 2.25, 4 Ni 2.48
Cr1 0.9700 0.1685 0.7562  8 Cr 2.48-2.71, 4 Ni 2.52
Ni2 0.4696 0.6685 0.2327  8 Be 2.23-2.24, 4 Ni 2.48
Cr2 0.4686 0.6699 0.5439  4 Be 2.40, 4 Cr 2.48
Be1 0.9694 0.1688 0.0892  8 Ni 2.23-2.25, 4 Be 2.48
Be2 0.9690 0.1695 0.3751  4 Ni 2.23, 4 Cr 2.40, 4 Be 2.48


(2)
LiCdNiPt: optimized geometry, PBE-GGA.

Properties
- calculated formation energy (eV/f.u.) = -1.04
- electronic total energy (hartree per atom) = -0.1442
- V (Å³/cell) = 58

Unit cell a=4.3385 b=4.3385 c=4.3385 alpha=60.00 beta=60.00 gamma=60.00
Closest atoms and distances in Å follow each position.
Fractional positions:
Li1 0.7500 0.7500 0.7500  4 Pt 2.66, 4 Cd 2.66
Pt1 0.0000 0.0000 0.0000  4 Li 2.66, 4 Ni 2.66
Cd1 0.5000 0.5000 0.5000  4 Li 2.66, 4 Ni 2.66
Ni1 0.2500 0.2500 0.2500  4 Cd 2.66, 4 Pt 2.66


(3)
HoThTlSn: optimized geometry, PBE-GGA.

Properties
- calculated formation energy (eV/f.u.) = -1.30
- electronic total energy (hartree per atom) = -0.1807
- V (Å³/cell) = 113

Unit cell a=5.4276 b=5.4276 c=5.4276 alpha=60.00 beta=60.00 gamma=60.00
Closest atoms and distances in Å follow each position.
Fractional positions:
Ho1 0.0000 0.0000 0.0000  4 Tl 3.32, 4 Sn 3.32
Sn1 0.2500 0.2500 0.2500  4 Ho 3.32, 4 Th 3.32
Tl1 0.7500 0.7500 0.7500  4 Th 3.32, 4 Ho 3.32
Th1 0.5000 0.5000 0.5000  4 Sn 3.32, 4 Tl 3.32


(4)
Dy4Ho3Zn4: optimized geometry, PBE-GGA.

Properties
- calculated formation energy (eV/f.u.) = -1.33
- electronic total energy (hartree per atom) = -0.1289
- V (Å³/cell) = 283

Unit cell a=5.0805 b=6.9178 c=9.1217 alpha=112.28 beta=106.17 gamma=90.00
Closest atoms and distances in Å follow each position.
Fractional positions:
Zn1 0.8190 0.3190 0.6380  1 Ho 2.91, 6 Dy 2.92-3.01
Dy1 0.6789 0.9110 0.3578  4 Zn 2.92-3.01, 1 Dy 3.21
Zn2 0.1810 0.6810 0.3620  1 Ho 2.91, 6 Dy 2.92-3.01
Ho1 0.0000 0.5000 0.0000  2 Zn 2.91
Dy2 0.3211 0.0890 0.6422  4 Zn 2.92-3.01, 1 Dy 3.21
Zn3 0.5000 0.8160 0.0000  1 Zn 2.55
Ho2 0.8987 0.8987 0.7974  1 Ho 3.26, 4 Zn 3.28, 4 Dy 3.38
Dy3 0.6789 0.4468 0.3578  4 Zn 2.92-3.01, 1 Dy 3.21
Dy4 0.3211 0.5532 0.6422  4 Zn 2.92-3.01, 1 Dy 3.21
Zn4 0.5000 0.1840 0.0000  1 Zn 2.55
Ho3 0.1013 0.1013 0.2026  1 Ho 3.26, 4 Zn 3.28, 4 Dy 3.38


(5)
Ag2SbO4: optimized geometry, PBE-GGA.

Properties
- polymorph energy (0 for the lowest one) (meV per atom) = 0
- electronic total energy (hartree per atom) = -0.1808
- V (Å³/cell) = 412
- formation energy without anion corrections (eV/atom) = -0.682

Unit cell a=6.7560 b=6.7560 c=9.0171 alpha=90.00 beta=90.00 gamma=90.00
Closest atoms and distances in Å follow each position.
Fractional positions:
Sb1 0.2318 0.0000 0.7500  6 O 2.00-2.08
Sb2 0.0000 0.7682 0.5000  6 O 2.00-2.08
Ag1 0.2317 0.5000 0.7500  6 O 2.28-2.47
O1 0.5643 0.7850 0.2522  1 Sb 2.00
O2 0.5643 0.2150 0.2478  1 Sb 2.00
Sb3 0.0000 0.2318 0.0000  6 O 2.00-2.08
Ag2 0.7173 0.2827 0.6250  4 O 2.27-2.44
O3 0.4357 0.7850 0.7478  1 Sb 2.00
Ag3 0.7173 0.7173 0.8750  4 O 2.27-2.44
Ag4 0.2827 0.2827 0.3750  4 O 2.27-2.44
O4 0.7896 0.9902 0.4758  2 Sb 2.04-2.08
Ag5 0.5000 0.7683 0.5000  6 O 2.28-2.47
Ag6 0.5000 0.2317 0.0000  6 O 2.28-2.47
O5 0.2150 0.5643 0.5022  1 Sb 2.00
O6 0.7896 0.0098 0.0242  2 Sb 2.04-2.08
O7 0.2104 0.0098 0.9758  2 Sb 2.04-2.08
O8 0.9902 0.2104 0.2258  2 Sb 2.04-2.08
O9 0.7850 0.5643 0.4978  1 Sb 2.00
O10 0.4357 0.2150 0.7522  1 Sb 2.00
O11 0.2104 0.9902 0.5242  2 Sb 2.04-2.08
Ag7 0.2827 0.7173 0.1250  4 O 2.27-2.44
O12 0.2150 0.4357 0.9978  1 Sb 2.00
O13 0.0098 0.7896 0.7258  2 Sb 2.04-2.08
O14 0.9902 0.7896 0.2742  2 Sb 2.04-2.08
Sb4 0.7682 0.0000 0.2500  6 O 2.00-2.08
O15 0.7850 0.4357 0.0022  1 Sb 2.00
Ag8 0.7683 0.5000 0.2500  6 O 2.28-2.47
O16 0.0098 0.2104 0.7742  2 Sb 2.04-2.08


(6)
ErCdGa2: optimized geometry, PBE-GGA.

Properties
- polymorph energy (0 for the lowest one) (meV per atom) = 148
- calculated formation energy (eV/f.u.) = -1.06
- electronic total energy (hartree per atom) = -0.1157
- V (Å³/cell) = 84

Unit cell a=4.9224 b=4.9224 c=4.9224 alpha=60.00 beta=60.00 gamma=60.00
Closest atoms and distances in Å follow each position.
Fractional positions:
Ga1 0.2500 0.2500 0.2500  4 Cd 3.01, 4 Er 3.01
Ga2 0.7500 0.7500 0.7500  4 Er 3.01, 4 Cd 3.01
Cd1 0.0000 0.0000 0.0000  8 Ga 3.01
Er1 0.5000 0.5000 0.5000  8 Ga 3.01


(7)
MnCrNiRh: optimized geometry, PBE-GGA.

Properties
- calculated formation energy (eV/f.u.) = 0.17
- electronic total energy (hartree per atom) = -0.2918
- V (Å³/cell) = 51

Unit cell a=4.1647 b=4.1647 c=4.1647 alpha=60.00 beta=60.00 gamma=60.00
Closest atoms and distances in Å follow each position.
Fractional positions:
Rh1 0.0000 0.0000 0.0000  4 Cr 2.55, 4 Ni 2.55
Mn1 0.5000 0.5000 0.5000  4 Ni 2.55, 4 Cr 2.55
Ni1 0.2500 0.2500 0.2500  4 Rh 2.55, 4 Mn 2.55
Cr1 0.7500 0.7500 0.7500  4 Mn 2.55, 4 Rh 2.55


(8)
LaTa2Ag: optimized geometry, PBE-GGA.

Properties
- polymorph energy (0 for the lowest one) (meV per atom) = 184
- calculated formation energy (eV/f.u.) = 1.77
- electronic total energy (hartree per atom) = -0.2730
- V (Å³/cell) = 86

Unit cell a=5.6608 b=5.6608 c=5.3194 alpha=77.25 beta=77.25 gamma=31.05
Closest atoms and distances in Å follow each position.
Fractional positions:
La1 0.2500 0.2500 0.2500  2 La 3.03, 4 Ag 3.06, 6 Ta 3.21-3.33
Ta1 0.4817 0.4817 0.5274  6 Ta 2.91-3.26, 2 Ag 2.95, 1 La 3.21
Ta2 0.0183 0.0183 0.9726  6 Ta 2.91-3.26, 2 Ag 2.95, 1 La 3.21
Ag1 0.7500 0.7500 0.7500  4 Ta 2.95, 2 Ag 3.03, 4 La 3.06


(9)
Ba2HfTiS6: optimized geometry, PBE-GGA.

Properties
- electronic total energy (hartree per atom) = -0.2339
- V (Å³/cell) = 488
- formation energy without anion corrections (eV/atom) = -1.719

Unit cell a=6.9430 b=6.9430 c=12.3590 alpha=73.69 beta=73.69 gamma=60.00
Closest atoms and distances in Å follow each position.
Fractional positions:
Hf1 0.4131 0.4131 0.7608  6 S 2.48-2.54
Ba1 0.8737 0.8737 0.3788  12 S 3.47-3.60
S1 0.7974 0.7974 0.1199  1 Ti 2.41, 1 Hf 2.48
S2 0.2026 0.7147 0.8801  1 Ti 2.41, 1 Hf 2.48
Ti1 0.5000 0.5000 0.5000  6 S 2.45
Ba2 0.7081 0.7081 0.8756  12 S 3.47-3.57
S3 0.7974 0.2853 0.1199  1 Ti 2.41, 1 Hf 2.48
S4 0.2853 0.7974 0.1199  1 Ti 2.41, 1 Hf 2.48
Hf2 0.5869 0.5869 0.2392  6 S 2.48-2.54
S5 0.3769 0.8705 0.3758  1 Ti 2.45, 1 Hf 2.54
Ba3 0.2919 0.2919 0.1244  12 S 3.47-3.57
S6 0.1295 0.6231 0.6242  1 Ti 2.45, 1 Hf 2.54
Ti2 0.0000 0.0000 0.0000  6 S 2.41
S7 0.7147 0.2026 0.8801  1 Ti 2.41, 1 Hf 2.48
S8 0.3769 0.3769 0.3758  1 Ti 2.45, 1 Hf 2.54
S9 0.8705 0.3769 0.3758  1 Ti 2.45, 1 Hf 2.54
S10 0.6231 0.6231 0.6242  1 Ti 2.45, 1 Hf 2.54
S11 0.2026 0.2026 0.8801  1 Ti 2.41, 1 Hf 2.48
Ba4 0.1263 0.1263 0.6212  12 S 3.47-3.60
S12 0.6231 0.1295 0.6242  1 Ti 2.45, 1 Hf 2.54


(10)
CsBeS2: optimized geometry, PBE-GGA.

Properties
- electronic total energy (hartree per atom) = -0.1214
- V (Å³/cell) = 97
- formation energy without anion corrections (eV/atom) = -0.094

Unit cell a=8.6329 b=8.6329 c=8.6329 alpha=24.53 beta=24.53 gamma=24.53
Closest atoms and distances in Å follow each position.
Fractional positions:
S1 0.1228 0.1228 0.1228  3 Be 2.39
S2 0.8772 0.8772 0.8772  3 Be 2.39
Cs1 0.0000 0.0000 0.0000  2 S 3.08
Be1 0.5000 0.5000 0.5000  6 S 2.39


(11)
BaNp6S12: optimized geometry, PBE-GGA.

Properties
- electronic total energy (hartree per atom) = -0.2946
- V (Å³/cell) = 445
- formation energy without anion corrections (eV/atom) = -1.223

Unit cell a=8.1067 b=8.1067 c=8.1067 alpha=106.90 beta=106.90 gamma=106.90
Closest atoms and distances in Å follow each position.
Fractional positions:
Np1 0.2546 0.6618 0.2546  7 S 2.73-2.84
S1 0.8346 0.5778 0.5778  3 Np 2.73
S2 0.5778 0.8346 0.5778  3 Np 2.73
S3 0.4222 0.1654 0.4222  3 Np 2.73
S4 0.5778 0.5778 0.8346  3 Np 2.73
Np2 0.2546 0.2546 0.6618  7 S 2.73-2.84
Np3 0.3382 0.7454 0.7454  7 S 2.73-2.84
Ba1 0.0000 0.0000 0.0000  6 S 3.62
S5 0.4222 0.4222 0.1654  3 Np 2.73
Np4 0.7454 0.7454 0.3382  7 S 2.73-2.84
S6 0.5000 0.8710 0.1290  4 Np 2.73-2.84
S7 0.8710 0.5000 0.1290  4 Np 2.73-2.84
Np5 0.6618 0.2546 0.2546  7 S 2.73-2.84
S8 0.5000 0.1290 0.8710  4 Np 2.73-2.84
S9 0.8710 0.1290 0.5000  4 Np 2.73-2.84
S10 0.1290 0.5000 0.8710  4 Np 2.73-2.84
S11 0.1290 0.8710 0.5000  4 Np 2.73-2.84
Np6 0.7454 0.3382 0.7454  7 S 2.73-2.84
S12 0.1654 0.4222 0.4222  3 Np 2.73